Material: YCdAg
Method: DFT, PBE
State: relaxed

Cell and atoms, written as extended XYZ:
```
3
Lattice="4.938 0.000 0.000 2.469 4.277 0.000 2.469 1.426 4.032" Properties=species:S:1:pos:R:3 pbc="T T T"
Ag 0.000 0.000 0.000
Cd 4.938 2.851 2.016
Y 7.408 4.277 3.024
```

Properties
The energy of formation from the pure elements is 162 meV per atom. The total moment comes out at 0.00 μB per formula unit. As for the symmetry: No. 216.



Material: Dy3C2F
Method: DFT, PBE
State: relaxed

Cell and atoms, written as extended XYZ:
```
12
Lattice="-2.478 1.118 -2.435 4.095 -3.763 -3.160 -6.001 -8.416 2.245" Properties=species:S:1:pos:R:3 pbc="T T T"
Dy -1.047 -0.812 -2.043
Dy -4.012 -6.861 0.935
Dy -3.132 -3.737 -1.262
Dy -0.372 -4.201 -4.285
Dy -3.338 -10.250 -1.307
Dy -1.253 -7.325 -2.087
C 0.000 0.000 0.000
C -3.001 -4.208 1.123
C -2.607 -1.694 -0.860
C -1.778 -9.368 -2.490
F 0.038 -3.830 -1.797
F -4.423 -7.231 -1.553
```

Properties
The total moment comes out at 0.00 μB per formula unit. As for the symmetry: No. 63. The calculation puts the uncorrected formation energy at -0.739 eV/atom.



Material: Tl2Cr2Br7
Method: DFT, PBE
State: relaxed

Cell and atoms, written as extended XYZ:
```
11
Lattice="6.760 -0.086 -0.124 -0.787 8.620 -1.076 -0.787 -4.035 7.693" Properties=species:S:1:pos:R:3 pbc="T T T"
Tl 2.593 -0.335 5.037
Tl 2.593 4.834 1.455
Cr 5.488 1.189 1.717
Cr -0.302 3.309 4.776
Br 0.203 5.444 3.630
Br 4.983 3.012 0.120
Br 4.983 -0.945 2.862
Br 0.203 1.487 6.372
Br 0.000 0.000 0.000
Br 4.275 2.472 3.567
Br 0.911 2.027 2.925
```

Properties
The total moment comes out at 7.00 μB per formula unit. As for the symmetry: No. 12. The calculation puts the uncorrected formation energy at -0.665 eV/atom.



Material: Ca2HIrPd
Method: DFT, PBE
State: relaxed

Cell and atoms, written as extended XYZ:
```
5
Lattice="4.965 0.000 0.000 0.000 4.965 0.000 0.000 0.000 3.521" Properties=species:S:1:pos:R:3 pbc="T T T"
H 0.000 0.000 0.000
Ca 0.000 2.482 0.000
Ca 2.482 0.000 0.000
Ir 2.482 2.482 1.760
Pd 0.000 0.000 1.760
```

Properties
The total moment comes out at 0.00 μB per formula unit. As for the symmetry: No. 123. For the relative energy among the computed polymorphs, the calculation gives 91 meV per atom.



Material: Ta6ReMo
Method: DFT, PBE
State: relaxed

Cell and atoms, written as extended XYZ:
```
8
Lattice="-0.050 -1.892 -5.455 -1.229 -4.318 3.631 -3.781 4.314 0.661" Properties=species:S:1:pos:R:3 pbc="T T T"
Ta -1.879 -2.641 1.533
Ta -3.161 1.692 0.042
Ta -3.181 0.744 -2.696
Ta -3.772 -0.473 1.866
Ta -1.899 -3.589 -1.205
Ta -1.288 -1.423 -3.029
Re 0.000 0.000 0.000
Mo -2.530 -0.948 -0.581
```

Properties
The energy of formation from the pure elements is 124 meV per atom. The total moment comes out at 0.00 μB per formula unit. As for the symmetry: No. 166. For the relative energy among the computed polymorphs, the calculation gives 311 meV per atom.



Material: ReSn2Ir
Method: DFT, PBE
State: relaxed

Cell and atoms, written as extended XYZ:
```
8
Lattice="7.422 0.000 0.000 0.000 7.422 0.000 3.711 3.711 2.945" Properties=species:S:1:pos:R:3 pbc="T T T"
Re 3.711 3.711 0.000
Re 3.711 7.422 1.473
Ir 0.000 0.000 0.000
Ir 7.422 3.711 1.473
Sn 5.670 1.856 0.736
Sn 1.752 5.567 0.736
Sn 5.567 5.464 2.209
Sn 9.278 9.381 2.209
```

Properties
The energy of formation from the pure elements is 859 meV per atom. The total moment comes out at 2.05 μB per formula unit. As for the symmetry: No. 122. For the relative energy among the computed polymorphs, the calculation gives 559 meV per atom.



Material: Ca4Sn5Au6
Method: DFT, PBE
State: relaxed

Cell and atoms, written as extended XYZ:
```
30
Lattice="4.496 0.000 0.000 -2.248 10.854 0.000 0.000 0.000 15.350" Properties=species:S:1:pos:R:3 pbc="T T T"
Ca 2.248 9.811 4.276
Ca 0.000 1.043 11.951
Ca 0.000 3.297 4.514
Ca 2.248 7.557 12.189
Ca 2.248 7.034 6.942
Ca 0.000 3.820 14.617
Ca 0.000 0.537 7.804
Ca 2.248 10.318 0.129
Sn 0.000 10.093 10.290
Sn 2.248 0.762 2.615
Sn 0.000 3.601 9.578
Sn 2.248 7.253 1.903
Sn 2.248 3.303 7.092
Sn 0.000 7.551 14.767
Sn 0.000 6.977 9.415
Sn 2.248 3.877 1.740
Sn 0.000 7.054 4.556
Sn 2.248 3.801 12.231
Au 2.248 5.440 4.070
Au 0.000 9.298 6.469
Au 2.248 5.815 14.848
Au 0.000 5.039 7.173
Au 0.000 9.772 13.101
Au 2.248 1.082 5.427
Au 0.000 8.904 2.055
Au 2.248 1.950 9.730
Au 0.000 2.139 1.754
Au 2.248 8.715 9.429
Au 2.248 1.556 14.143
Au 0.000 5.415 11.745
```

Properties
The energy of formation from the pure elements is -563 meV per atom. The total moment comes out at 0.00 μB per formula unit. As for the symmetry: No. 36.



Material: Sm6AuSe4
Method: DFT, PBE
State: relaxed

Cell and atoms, written as extended XYZ:
```
22
Lattice="4.077 0.000 0.000 -2.039 6.872 0.000 0.000 0.000 21.362" Properties=species:S:1:pos:R:3 pbc="T T T"
Sm 2.039 0.000 0.000
Sm 2.039 0.000 10.681
Sm 0.000 0.784 7.130
Sm 2.039 6.088 14.231
Sm 2.039 6.088 17.811
Sm 0.000 0.784 3.550
Sm 2.039 3.781 8.840
Sm 0.000 3.091 12.521
Sm 0.000 3.091 19.521
Sm 2.039 3.781 1.840
Sm 0.000 4.495 5.340
Sm 2.039 2.377 16.021
Au 2.039 2.257 5.340
Au 0.000 4.615 16.021
Se 2.039 4.954 11.533
Se 0.000 5.702 2.685
Se 0.000 1.918 9.828
Se 2.039 1.170 18.677
Se 2.039 4.954 20.509
Se 0.000 1.918 0.853
Se 2.039 1.170 13.366
Se 0.000 5.702 7.996
```

Properties
The total moment comes out at 0.00 μB per formula unit. As for the symmetry: No. 63. The calculation puts the uncorrected formation energy at -1.468 eV/atom.



Material: Ho3In3Ni2
Method: DFT, PBE
State: relaxed

Cell and atoms, written as extended XYZ:
```
32
Lattice="-3.645 -2.822 3.373 -1.793 -4.625 -5.806 12.002 -10.210 4.427" Properties=species:S:1:pos:R:3 pbc="T T T"
Ho 3.435 -6.432 -0.601
Ho 5.044 -8.125 4.557
Ho 6.468 -14.065 3.827
Ho -1.818 -6.692 -3.794
Ho 3.130 -11.225 2.596
Ho 1.521 -9.532 -2.563
Ho 0.096 -3.592 -1.833
Ho 8.382 -10.965 5.788
Ho -0.003 -5.972 1.362
Ho 8.137 -8.851 2.912
Ho 6.567 -11.685 0.632
Ho -1.572 -8.805 -0.918
In 2.106 -3.819 0.612
In 6.023 -11.008 3.667
In 4.459 -13.838 1.382
In 0.541 -6.648 -1.673
In 2.780 -7.973 2.249
In 5.689 -6.590 1.714
In 8.960 -14.086 1.653
In -4.300 -6.664 -1.629
In 3.785 -9.683 -0.255
In 0.875 -11.066 0.280
In -2.396 -3.571 0.341
In 10.864 -10.993 3.623
Ni 1.106 -6.921 4.017
Ni 5.332 -9.215 1.827
Ni 8.571 -13.385 -0.874
Ni -1.881 -5.793 -0.981
Ni 5.458 -10.736 -2.022
Ni 1.232 -8.441 0.167
Ni -2.007 -4.272 2.868
Ni 8.445 -11.864 2.975
```

Properties
The energy of formation from the pure elements is -421 meV per atom. The total moment comes out at 0.00 μB per formula unit. As for the symmetry: No. 62.



Material: RbBiPS2
Method: DFT, PBE
State: relaxed

Cell and atoms, written as extended XYZ:
```
5
Lattice="-5.080 0.667 1.776 -0.533 -5.373 0.494 1.832 0.290 5.132" Properties=species:S:1:pos:R:3 pbc="T T T"
P 0.916 0.145 2.566
S -0.266 -2.687 0.247
S -2.540 0.333 0.888
Bi 0.000 0.000 0.000
Rb -1.890 -2.208 3.701
```

Properties
The total moment comes out at 2.12 μB per formula unit. As for the symmetry: No. 123. For the relative energy among the computed polymorphs, the calculation gives 0 meV per atom. The calculation puts the uncorrected formation energy at 0.131 eV/atom.



Material: K2LiPb
Method: DFT, PBE
State: relaxed

Cell and atoms, written as extended XYZ:
```
4
Lattice="12.603 -0.002 -0.001 12.003 3.843 -0.001 12.003 1.874 3.355" Properties=species:S:1:pos:R:3 pbc="T T T"
K 0.138 0.022 0.013
K 18.167 2.836 1.664
Li 9.153 1.429 0.838
Pb 27.458 4.286 2.515
```

Properties
The energy of formation from the pure elements is 131 meV per atom. The total moment comes out at 0.01 μB per formula unit. As for the symmetry: No. 166.



Material: NaHg6Pt6
Method: DFT, PBE
State: relaxed

Cell and atoms, written as extended XYZ:
```
13
Lattice="5.270 0.000 2.106 2.546 6.753 1.275 0.127 0.077 7.327" Properties=species:S:1:pos:R:3 pbc="T T T"
Na 0.000 0.000 0.000
Hg 3.541 4.548 6.432
Hg 4.402 2.282 4.277
Hg 0.895 2.196 5.407
Hg 1.779 4.634 3.196
Hg 2.198 1.150 2.147
Hg 5.745 5.680 8.562
Pt 1.273 3.377 0.638
Pt 3.908 3.377 1.691
Pt 0.064 0.039 3.664
Pt 2.699 0.039 4.717
Pt 4.579 5.092 3.834
Pt 3.364 1.738 6.875
```

Properties
The energy of formation from the pure elements is -133 meV per atom. The total moment comes out at 0.00 μB per formula unit. As for the symmetry: No. 71.



Material: K2PrAs2S6
Method: DFT, PBE
State: relaxed

Cell and atoms, written as extended XYZ:
```
11
Lattice="-4.169 -1.034 5.800 -0.082 -4.489 -5.350 6.937 -0.583 4.883" Properties=species:S:1:pos:R:3 pbc="T T T"
K -1.714 -2.635 2.789
K 4.400 -3.471 2.544
Pr 1.384 -0.808 5.342
As 1.575 -5.565 4.631
As 1.111 -0.541 0.702
S 0.908 -3.441 4.530
S 0.553 -4.271 -2.604
S 4.213 -1.319 5.043
S 2.132 -1.835 7.937
S -1.527 -4.786 0.290
S 1.778 -2.665 0.803
```

Properties
The total moment comes out at 0.00 μB per formula unit. As for the symmetry: No. 12. The calculation puts the uncorrected formation energy at -0.826 eV/atom.



Material: MgSeS3
Method: DFT, PBE
State: relaxed

Cell and atoms, written as extended XYZ:
```
5
Lattice="-4.437 -0.817 1.545 0.914 -4.678 0.150 1.490 0.436 4.509" Properties=species:S:1:pos:R:3 pbc="T T T"
S 0.457 -2.339 0.075
S 0.745 0.218 2.255
S -2.218 -0.409 0.773
Mg -1.016 -2.530 3.102
Se 0.000 0.000 0.000
```

Properties
The total moment comes out at 0.00 μB per formula unit. As for the symmetry: No. 221. For the relative energy among the computed polymorphs, the calculation gives 0 meV per atom. The calculation puts the uncorrected formation energy at 0.255 eV/atom.



Material: Cs3RbCu2Br9
Method: DFT, PBE
State: relaxed

Cell and atoms, written as extended XYZ:
```
15
Lattice="-0.511 7.372 -1.683 -5.833 -4.625 -1.422 -4.038 2.009 10.028" Properties=species:S:1:pos:R:3 pbc="T T T"
Cs -7.004 0.840 5.806
Cs 0.000 0.000 0.000
Cs -3.377 3.916 1.117
Rb -2.019 1.004 5.014
Cu -4.647 -0.333 -0.050
Cu -5.735 5.089 6.972
Br -4.378 6.750 5.669
Br -7.169 4.537 4.989
Br -4.134 3.223 6.474
Br -6.248 1.533 0.449
Br -3.213 0.219 1.934
Br -6.004 -1.994 1.254
Br -0.256 3.686 -0.841
Br -2.916 -2.312 -0.711
Br -3.172 1.374 -1.552
```

Properties
The total moment comes out at 0.00 μB per formula unit. As for the symmetry: No. 164. The calculation puts the uncorrected formation energy at -1.017 eV/atom.



Material: MnAu4
Method: DFT, PBE
State: relaxed

Cell and atoms, written as extended XYZ:
```
5
Lattice="11.103 -1.522 -0.036 11.103 1.522 -0.036 10.903 0.000 2.593" Properties=species:S:1:pos:R:3 pbc="T T T"
Mn 16.555 0.000 1.260
Au 29.632 0.000 2.256
Au 9.891 0.000 0.753
Au 23.219 0.000 1.768
Au 3.478 0.000 0.265
```

Properties
The energy of formation from the pure elements is 40 meV per atom. The total moment comes out at 4.00 μB per formula unit. As for the symmetry: No. 166. For the relative energy among the computed polymorphs, the calculation gives 118 meV per atom.



Material: Ce2GaOs
Method: DFT, PBE
State: relaxed

Cell and atoms, written as extended XYZ:
```
8
Lattice="-2.213 -2.594 1.763 2.404 -3.186 -5.851 5.638 -2.233 3.790" Properties=species:S:1:pos:R:3 pbc="T T T"
Ce 1.164 -4.326 -0.726
Ce 4.666 -3.688 0.428
Ce 4.119 -6.957 -0.889
Ce 1.711 -1.057 0.591
Ga 1.304 -3.707 -3.819
Ga 4.526 -4.307 3.521
Os 3.391 -4.485 -2.344
Os 2.439 -3.529 2.046
```

Properties
The energy of formation from the pure elements is -360 meV per atom. The total moment comes out at 0.02 μB per formula unit. As for the symmetry: No. 12.



Material: Cr4Rh5
Method: DFT, PBE
State: relaxed

Cell and atoms, written as extended XYZ:
```
18
Lattice="7.305 0.000 0.000 3.652 6.326 0.000 0.000 0.000 5.304" Properties=species:S:1:pos:R:3 pbc="T T T"
Cr 0.000 0.000 0.000
Cr 0.000 0.000 2.652
Cr 6.093 2.099 1.326
Cr 2.440 4.227 1.326
Cr 2.424 0.000 1.326
Cr 4.864 4.227 3.978
Cr 1.212 2.099 3.978
Cr 4.880 0.000 3.978
Rh 4.847 4.258 1.326
Rh 1.194 2.068 1.326
Rh 4.916 0.000 1.326
Rh 6.110 2.068 3.978
Rh 2.458 4.258 3.978
Rh 2.388 0.000 3.978
Rh 3.652 2.109 0.000
Rh 7.305 4.217 2.652
Rh 7.305 4.217 0.000
Rh 3.652 2.109 2.652
```

Properties
The energy of formation from the pure elements is -5 meV per atom. The total moment comes out at 2.81 μB per formula unit. As for the symmetry: No. 193. For the relative energy among the computed polymorphs, the calculation gives 1 meV per atom.



Material: RbCd3Pt
Method: DFT, PBE
State: relaxed

Cell and atoms, written as extended XYZ:
```
10
Lattice="7.122 0.041 -0.033 -3.642 6.399 -0.015 0.567 0.794 6.753" Properties=species:S:1:pos:R:3 pbc="T T T"
Pt 0.260 0.560 2.637
Pt 1.672 5.515 3.623
Rb -0.583 4.420 0.025
Rb 6.850 0.996 6.146
Cd 0.425 3.165 3.328
Cd 2.241 1.825 1.153
Cd 2.981 3.529 5.156
Cd -0.966 6.045 3.348
Cd 3.724 4.270 2.283
Cd 4.878 1.730 2.822
```

Properties
The energy of formation from the pure elements is -134 meV per atom. The total moment comes out at 0.00 μB per formula unit. As for the symmetry: No. 1. For the relative energy among the computed polymorphs, the calculation gives 116 meV per atom.



Material: Ac2SbPbO8
Method: DFT, PBE
State: relaxed

Cell and atoms, written as extended XYZ:
```
12
Lattice="5.164 -0.155 0.029 -0.150 5.184 0.029 0.054 0.054 7.421" Properties=species:S:1:pos:R:3 pbc="T T T"
Ac 2.309 2.324 5.649
Ac 2.759 2.758 1.830
Sb 0.000 0.000 0.000
Pb 0.027 0.027 3.711
O 0.570 4.068 1.617
O 3.684 3.707 7.166
O 4.063 0.569 1.626
O 4.498 1.014 5.862
O 1.384 1.375 0.313
O 1.005 4.514 5.853
O 3.608 3.623 3.977
O 1.460 1.459 3.503
```

Properties
The total moment comes out at 1.07 μB per formula unit. As for the symmetry: No. 2. The calculation puts the uncorrected formation energy at -1.917 eV/atom.



Material: BeMoAs2
Method: DFT, PBE
State: relaxed

Cell and atoms, written as extended XYZ:
```
4
Lattice="3.215 0.000 0.000 0.000 3.242 0.000 0.000 2.035 5.725" Properties=species:S:1:pos:R:3 pbc="T T T"
Be 1.607 1.319 1.431
Mo 1.607 3.958 4.294
As 0.000 0.292 0.005
As 0.000 2.347 2.858
```

Properties
The energy of formation from the pure elements is 66 meV per atom. The total moment comes out at 0.00 μB per formula unit. As for the symmetry: No. 10.